The following is a PBE calculation of a relaxed TlSb2RhW crystal, from the Alexandria database.

Cell lengths 5.171, 5.171, 4.998 Å; angles 90.00, 90.00, 90.00 degrees
Space group P4/mmm (No. 123)
Symmetry-distinct sites (fractional):
Tl  0.000  0.000  0.000 (multiplicity 1)
Sb  0.000  0.500  0.500 (multiplicity 2)
Rh  0.500  0.500  0.500 (multiplicity 1)
W  0.500  0.500  0.000 (multiplicity 1)

Summary:
The formation energy without anion corrections is 0.974 eV per atom. The energy comes out at -26.0 eV/cell.